# 1
The following is a DFT calculation (PBE-GGA) of a relaxed Ba2SbPd2 crystal.

Unit cell a=6.145 b=6.145 c=8.860 alpha=101.53 beta=101.53 gamma=61.00
Atoms (fractional coordinates):
Ba 0.009 0.289 0.151
Ba 0.289 0.009 0.651
Ba 0.711 0.991 0.349
Ba 0.991 0.711 0.849
Sb 0.359 0.641 0.250
Sb 0.641 0.359 0.750
Pd 0.244 0.496 0.505
Pd 0.496 0.244 0.005
Pd 0.504 0.756 0.995
Pd 0.756 0.504 0.495

Formation energy without anion corrections ... -0.7411 eV/atom
Total magnetization ... 0.0000 μB per atom
N(E_F) ... 6.58 states/eV/cell
Excess energy over the best structure of this formula in the dataset ... 0 meV/atom

# 2
The following is a DFT calculation (PBE-GGA) of a relaxed BaNp3Tl2Se8 crystal.

Unit cell a=9.264 b=9.264 c=9.264 alpha=54.89 beta=54.89 gamma=54.89
Atoms (fractional coordinates):
Ba 0.000 0.000 0.000
Np 0.133 0.629 0.629
Np 0.629 0.133 0.629
Np 0.629 0.629 0.133
Tl 0.257 0.257 0.257
Tl 0.628 0.628 0.628
Se 0.375 0.375 0.833
Se 0.375 0.833 0.375
Se 0.400 0.400 0.400
Se 0.433 0.882 0.882
Se 0.833 0.375 0.375
Se 0.862 0.862 0.862
Se 0.882 0.433 0.882
Se 0.882 0.882 0.433

Formation energy without anion corrections ... -1.0283 eV/atom
Total magnetization ... 0.6429 μB per atom
N(E_F) ... 28.62 states/eV/cell

# 3
The following is a DFT calculation (PBE-GGA) of a relaxed AgPW2 crystal.

Unit cell a=9.948 b=9.948 c=9.948 alpha=158.22 beta=158.22 gamma=30.99
Atoms (fractional coordinates):
Ag 0.000 0.000 0.000
Ag 0.750 0.250 0.500
P 0.250 0.750 0.500
P 0.500 0.500 0.000
W 0.147 0.625 0.022
W 0.375 0.397 0.522
W 0.603 0.125 0.978
W 0.875 0.853 0.478

Total magnetization ... 0.0000 μB per atom
Energy relative to the elements ... 0.833 eV per atom
N(E_F) ... 5.38 states/eV/cell
Excess energy over the best structure of this formula in the dataset ... 553 meV/atom

# 4
The following is a DFT calculation (PBE-GGA) of a relaxed Hf3Nb5H12 crystal.

Unit cell a=9.920 b=9.920 c=9.920 alpha=109.47 beta=109.47 gamma=109.47
Atoms (fractional coordinates):
Hf 0.125 0.250 0.375
Hf 0.125 0.375 0.750
Hf 0.250 0.375 0.125
Hf 0.250 0.875 0.625
Hf 0.375 0.125 0.250
Hf 0.375 0.750 0.125
Hf 0.625 0.250 0.875
Hf 0.625 0.875 0.750
Hf 0.750 0.125 0.375
Hf 0.750 0.625 0.875
Hf 0.875 0.625 0.250
Hf 0.875 0.750 0.625
Nb 0.000 0.000 0.000
Nb 0.000 0.000 0.500
Nb 0.000 0.500 0.000
Nb 0.000 0.500 0.500
Nb 0.125 0.750 0.875
Nb 0.125 0.875 0.250
Nb 0.250 0.125 0.875
Nb 0.250 0.625 0.375
Nb 0.375 0.250 0.625
Nb 0.375 0.625 0.750
Nb 0.500 0.000 0.000
Nb 0.500 0.000 0.500
Nb 0.500 0.500 0.000
Nb 0.500 0.500 0.500
Nb 0.625 0.375 0.250
Nb 0.625 0.750 0.375
Nb 0.750 0.375 0.625
Nb 0.750 0.875 0.125
Nb 0.875 0.125 0.750
Nb 0.875 0.250 0.125
H 0.063 0.223 0.144
H 0.063 0.340 0.920
H 0.079 0.723 0.660
H 0.079 0.856 0.420
H 0.080 0.644 0.421
H 0.080 0.937 0.660
H 0.144 0.063 0.223
H 0.144 0.580 0.921
H 0.160 0.223 0.579
H 0.160 0.437 0.580
H 0.223 0.144 0.063
H 0.223 0.579 0.160
H 0.277 0.340 0.921
H 0.277 0.437 0.356
H 0.340 0.920 0.063
H 0.340 0.921 0.277
H 0.356 0.277 0.437
H 0.356 0.579 0.920
H 0.420 0.079 0.856
H 0.420 0.840 0.563
H 0.421 0.080 0.644
H 0.421 0.840 0.777
H 0.437 0.356 0.277
H 0.437 0.580 0.160
H 0.563 0.420 0.840
H 0.563 0.644 0.723
H 0.579 0.160 0.223
H 0.579 0.920 0.356
H 0.580 0.160 0.437
H 0.580 0.921 0.144
H 0.644 0.421 0.080
H 0.644 0.723 0.563
H 0.660 0.079 0.723
H 0.660 0.080 0.937
H 0.723 0.563 0.644
H 0.723 0.660 0.079
H 0.777 0.421 0.840
H 0.777 0.856 0.937
H 0.840 0.563 0.420
H 0.840 0.777 0.421
H 0.856 0.420 0.079
H 0.856 0.937 0.777
H 0.920 0.063 0.340
H 0.920 0.356 0.579
H 0.921 0.144 0.580
H 0.921 0.277 0.340
H 0.937 0.660 0.080
H 0.937 0.777 0.856

Total magnetization ... 0.0000 μB per atom
Electronic total energy ... -507.62 eV/cell
N(E_F) ... 20.05 states/eV/cell

# 5
The following is a DFT calculation (PBE-GGA) of a relaxed BaCaCeNbO6 crystal.

Unit cell a=6.073 b=6.073 c=6.073 alpha=60.00 beta=60.00 gamma=60.00
Atoms (fractional coordinates):
Ba 0.000 0.000 0.000
Ca 0.500 0.500 0.500
Ce 0.250 0.250 0.250
Nb 0.750 0.750 0.750
O 0.514 0.514 0.986
O 0.514 0.986 0.514
O 0.514 0.986 0.986
O 0.986 0.514 0.514
O 0.986 0.514 0.986
O 0.986 0.986 0.514

Formation energy without anion corrections ... -2.8375 eV/atom
Total magnetization ... 0.1019 μB per atom
N(E_F) ... 7.22 states/eV/cell
Excess energy over the best structure of this formula in the dataset ... 97 meV/atom

# 6
The following is a DFT calculation (PBE-GGA) of a relaxed LiSiAs2Br crystal.

Unit cell a=4.633 b=4.633 c=6.550 alpha=90.00 beta=90.00 gamma=90.00
Atoms (fractional coordinates):
Li 0.000 0.000 0.000
Si 0.500 0.500 0.500
As 0.000 0.500 0.500
As 0.500 0.000 0.500
Br 0.500 0.500 0.000

Formation energy without anion corrections ... 0.1877 eV/atom
Total magnetization ... 0.0000 μB per atom
N(E_F) ... 3.14 states/eV/cell
Excess energy over the best structure of this formula in the dataset ... 0 meV/atom

# 7
The following is a DFT calculation (PBE-GGA) of a relaxed K2YHg crystal.

Unit cell a=10.465 b=10.465 c=10.465 alpha=159.50 beta=152.71 gamma=34.37
Atoms (fractional coordinates):
K 0.158 0.158 0.000
K 0.842 0.842 0.000
Y 0.500 0.000 0.500
Hg 0.000 0.500 0.500

Total magnetization ... 0.0000 μB per atom
Energy relative to the elements ... 0.016 eV per atom
N(E_F) ... 3.87 states/eV/cell

# 8
The following is a DFT calculation (PBE-GGA) of a relaxed La2GaPd crystal.

Unit cell a=4.545 b=6.166 c=6.166 alpha=38.49 beta=90.00 gamma=90.00
Atoms (fractional coordinates):
La 0.000 0.000 0.000
La 0.500 0.280 0.280
Ga 0.500 0.568 0.568
Pd 0.000 0.710 0.710

Total magnetization ... 0.0001 μB per atom
Energy relative to the elements ... -0.670 eV per atom
N(E_F) ... 4.77 states/eV/cell

# 9
The following is a DFT calculation (PBE-GGA) of a relaxed Li2ZrPb2 crystal.

Unit cell a=7.294 b=7.294 c=7.294 alpha=147.85 beta=147.85 gamma=46.11
Atoms (fractional coordinates):
Li 0.250 0.750 0.500
Li 0.750 0.250 0.500
Zr 0.000 0.000 0.000
Pb 0.390 0.390 0.000
Pb 0.610 0.610 0.000

Total magnetization ... 0.0000 μB per atom
Energy relative to the elements ... -0.083 eV per atom
N(E_F) ... 3.07 states/eV/cell
Excess energy over the best structure of this formula in the dataset ... 74 meV/atom

# 10
The following is a DFT calculation (PBE-GGA) of a relaxed Na2Li2Mg crystal.

Unit cell a=8.829 b=8.829 c=3.369 alpha=90.00 beta=90.00 gamma=90.00
Atoms (fractional coordinates):
Na 0.133 0.367 0.000
Na 0.367 0.867 0.000
Na 0.633 0.133 0.000
Na 0.867 0.633 0.000
Li 0.170 0.670 0.500
Li 0.330 0.170 0.500
Li 0.670 0.830 0.500
Li 0.830 0.330 0.500
Mg 0.000 0.000 0.000
Mg 0.500 0.500 0.000

Total magnetization ... 0.0000 μB per atom
Energy relative to the elements ... 0.141 eV per atom
N(E_F) ... 5.14 states/eV/cell
Excess energy over the best structure of this formula in the dataset ... 84 meV/atom

# 11
The following is a DFT calculation (PBE-GGA) of a relaxed Tl2Sb crystal.

Unit cell a=7.123 b=7.123 c=7.123 alpha=152.12 beta=145.39 gamma=45.01
Atoms (fractional coordinates):
Tl 0.152 0.152 0.000
Tl 0.848 0.848 0.000
Sb 0.500 0.500 0.000

Formation energy without anion corrections ... 0.0080 eV/atom
Total magnetization ... 0.0000 μB per atom
N(E_F) ... 1.10 states/eV/cell
Excess energy over the best structure of this formula in the dataset ... 28 meV/atom

# 12
The following is a DFT calculation (PBE-GGA) of a relaxed Pm4Tm4Sc3 crystal.

Unit cell a=17.686 b=17.686 c=5.534 alpha=98.97 beta=98.97 gamma=11.05
Atoms (fractional coordinates):
Pm 0.089 0.089 0.090
Pm 0.231 0.231 0.730
Pm 0.769 0.769 0.270
Pm 0.911 0.911 0.910
Tm 0.045 0.045 0.546
Tm 0.179 0.179 0.179
Tm 0.821 0.821 0.821
Tm 0.955 0.955 0.454
Sc 0.366 0.366 0.365
Sc 0.500 0.500 0.000
Sc 0.634 0.634 0.635

Total magnetization ... 0.0000 μB per atom
Energy relative to the elements ... 0.113 eV per atom
N(E_F) ... 20.52 states/eV/cell